First-principles (PBE+U) data for an optimized crystal structure of CrRhO3, as listed in Alexandria via LeMat-Bulk. Values from VASP.

Calculated values
Electronic total energy (eV for the cell shown): -28.01
Spin magnetization (μB/f.u.): 0.82
Crystal system: cubic

```
&SYSTEM
  ibrav = 0, nat = 5, ntyp = 3
/
ATOMIC_SPECIES
Cr 52.00 Cr.upf
Rh 102.91 Rh.upf
O 16.00 O.upf
CELL_PARAMETERS angstrom
3.854 0.000 0.000
0.000 3.854 0.000
0.000 0.000 3.854
ATOMIC_POSITIONS crystal
Cr 0.000 0.000 0.000
Rh 0.500 0.500 0.500
O 0.000 0.500 0.500
O 0.500 0.000 0.500
O 0.500 0.500 0.000
```